[1]
Computed, not measured: a relaxed Ca2PbSe crystal at the GGA-PBE level of DFT.

Geometry as CIF:
```
data_Ca2PbSe
_chemical_formula_sum 'Ca2 Pb1 Se1'
_symmetry_space_group_name_H-M 'P 4/m m m'
_symmetry_Int_Tables_number 123
_symmetry_space_group_name_Hall '-P 4 2'
_cell_length_a 3.627
_cell_length_b 3.627
_cell_length_c 8.298
_cell_angle_alpha 90.00
_cell_angle_beta 90.00
_cell_angle_gamma 90.00
loop_
_atom_site_label
_atom_site_type_symbol
_atom_site_fract_x
_atom_site_fract_y
_atom_site_fract_z
Ca1 Ca 0.000 0.000 0.215
Pb1 Pb 0.500 0.500 0.500
Se1 Se 0.500 0.500 0.000
```

Output
spin magnetization = 0.0 Bohr magnetons per cell
ΔE_f (raw) = -1.10 eV/atom

[2]
Computed, not measured: a relaxed Ca2PbSe3 crystal at the GGA-PBE level of DFT.

Geometry as CIF:
```
data_Ca2PbSe3
_chemical_formula_sum 'Ca4 Pb2 Se6'
_symmetry_space_group_name_H-M 'I m m m'
_symmetry_Int_Tables_number 71
_symmetry_space_group_name_Hall '-I 2 2'
_cell_length_a 4.270
_cell_length_b 6.053
_cell_length_c 12.888
_cell_angle_alpha 90.00
_cell_angle_beta 90.00
_cell_angle_gamma 90.00
loop_
_atom_site_label
_atom_site_type_symbol
_atom_site_fract_x
_atom_site_fract_y
_atom_site_fract_z
Ca1 Ca 0.000 0.000 0.165
Pb1 Pb 0.000 0.000 0.500
Se1 Se 0.000 0.500 0.174
Se2 Se 0.000 0.500 0.500
```

Output
spin magnetization = 0.0 Bohr magnetons per cell
ΔE_f (raw) = -1.53 eV/atom

[3]
Computed, not measured: a relaxed Ca2PbSe crystal at the GGA-PBE level of DFT.

Geometry as CIF:
```
data_Ca2PbSe
_chemical_formula_sum 'Ca2 Pb1 Se1'
_symmetry_space_group_name_H-M 'P 4 m m'
_symmetry_Int_Tables_number 99
_symmetry_space_group_name_Hall 'P 4 -2'
_cell_length_a 3.946
_cell_length_b 3.946
_cell_length_c 8.750
_cell_angle_alpha 90.00
_cell_angle_beta 90.00
_cell_angle_gamma 90.00
loop_
_atom_site_label
_atom_site_type_symbol
_atom_site_fract_x
_atom_site_fract_y
_atom_site_fract_z
Ca1 Ca 0.000 0.000 0.000
Ca2 Ca 0.500 0.500 0.412
Pb1 Pb 0.000 0.000 0.627
Se1 Se 0.500 0.500 0.087
```

Output
spin magnetization = 0.0 Bohr magnetons per cell
ΔE_f (raw) = -1.01 eV/atom

In the order shown, the computed total energy values come out to -15.58, -54.67, -15.24 eV per cell.